26
Lattice="-2.704 -1.640 -1.333 4.387 -9.546 2.845 -8.364 0.887 15.874" Properties=species:S:1:pos:R:3 comment="Mg5In6Pb2 | the Alexandria database | PBE | relaxed" m_tot_mub_per_fu=0.0 delta_e_f_ev_per_atom=-0.02 total_energy_ev_per_atom=-2.47 mass_density_kg_m3=6061 sg="No. 55" crystal_system=orthorhombic pbc="T T T"
Pb -5.753 -0.818 12.677
Pb -3.218 -5.627 13.452
Pb -0.758 -3.031 5.267
Pb 1.777 -7.841 6.042
Mg -3.763 -3.259 7.225
Mg -3.839 -8.801 14.197
Mg -5.534 -0.376 7.271
Mg -8.355 -1.923 14.896
Mg -5.638 -4.070 12.025
Mg 0.841 -5.593 0.756
Mg -2.918 -7.040 10.161
Mg -1.043 -6.229 5.361
Mg 1.674 -8.377 2.490
Mg -2.842 -1.498 3.189
In -5.414 -3.256 14.987
In -1.116 -8.089 7.797
In -3.512 -8.284 17.315
In -1.237 -8.239 12.646
In -2.739 -0.420 6.073
In -0.964 -3.564 1.923
In -5.716 -6.735 15.463
In -0.465 -0.375 1.404
In -2.863 -3.812 10.498
In -1.113 -4.847 8.221
In 1.437 -5.403 3.732
In -5.565 -2.210 9.589